PdW3O | the Alexandria database | GGA+U | relaxed; spin magnetization = 1.96 μB/atom; space-group type = No. 221; density of states at the Fermi level = 3.44 states/eV per cell; E above lowest polymorph = 8.191 eV per formula unit; electronic total energy = -20.63 eV for the cell shown
1.0
-4.434 2.435 0.593
-2.481 -4.093 -1.743
-0.357 -1.806 4.749
W O Pd
3 1 1
direct
0.000 0.000 0.500 W
0.500 0.000 0.000 W
0.000 0.500 0.000 W
0.500 0.500 0.500 O
0.000 0.000 0.000 Pd